1.
Ta3In: relaxed, PBE-GGA.

Computed properties:
energy of formation from the pure elements: 0.1841 eV/atom
crystal system: tetragonal
space-group type: P4/mmm, No. 123

Cell: 2.880 2.880 9.253 Å, 90.00 90.00 90.00°
Positions (direct):
Ta: 0.500 0.500 0.747
Ta: 0.500 0.500 0.253
Ta: 0.000 0.000 0.500
In: 0.000 0.000 0.000



2.
TaIn2: relaxed, PBE-GGA.

Computed properties:
energy of formation from the pure elements: 0.3861 eV/atom
crystal system: orthorhombic
space-group type: Immm, No. 71

Cell: 5.650 5.650 5.650 Å, 148.12 137.81 53.84°
Positions (direct):
Ta: 0.000 0.000 0.000
In: 0.659 0.659 0.000
In: 0.341 0.341 0.000



3.
TaIn: relaxed, PBE-GGA.

Computed properties:
energy of formation from the pure elements: 0.2740 eV/atom
crystal system: orthorhombic
space-group type: Pnma, No. 62

Cell: 10.680 5.094 5.965 Å, 90.00 90.00 90.00°
Positions (direct):
Ta: 0.156 0.750 0.715
Ta: 0.656 0.750 0.785
Ta: 0.925 0.750 0.499
Ta: 0.575 0.250 0.999
Ta: 0.075 0.250 0.501
Ta: 0.844 0.250 0.285
Ta: 0.425 0.750 0.001
Ta: 0.344 0.250 0.215
In: 0.420 0.750 0.502
In: 0.324 0.250 0.733
In: 0.676 0.750 0.267
In: 0.920 0.750 0.998
In: 0.080 0.250 0.002
In: 0.580 0.250 0.498
In: 0.824 0.250 0.767
In: 0.176 0.750 0.233



4.
Ta2In: relaxed, PBE-GGA.

Computed properties:
energy of formation from the pure elements: 0.1104 eV/atom
crystal system: orthorhombic
space-group type: Fmmm, No. 69

Cell: 7.387 7.233 2.926 Å, 81.43 75.51 23.06°
Positions (direct):
Ta: 0.329 0.329 0.671
Ta: 0.671 0.671 0.329
In: 0.000 0.000 0.000



5.
TaIn: relaxed, PBE-GGA.

Computed properties:
energy of formation from the pure elements: 0.2275 eV/atom
crystal system: orthorhombic
space-group type: Cmme, No. 67

Cell: 3.031 3.031 9.556 Å, 90.00 90.00 108.79°
Positions (direct):
Ta: 0.000 0.000 0.486
Ta: 0.500 0.500 0.264
In: 0.500 0.500 0.735
In: 0.000 0.000 0.015



6.
Ta4In: relaxed, PBE-GGA.

Computed properties:
energy of formation from the pure elements: 2.2003 eV/atom
crystal system: cubic
space-group type: Pm-3m, No. 221
relative energy among the computed polymorphs: 10.540 eV/f.u.

Cell: 4.923 4.923 4.923 Å, 90.00 90.00 90.00°
Positions (direct):
Ta: 0.000 0.500 0.500
Ta: 0.000 0.000 0.000
Ta: 0.500 0.500 0.000
Ta: 0.500 0.000 0.500
In: 0.500 0.500 0.500



7.
TaIn: relaxed, PBE-GGA.

Computed properties:
energy of formation from the pure elements: 0.3585 eV/atom
crystal system: tetragonal
space-group type: P4/m, No. 83

Cell: 8.724 8.724 4.824 Å, 90.00 90.00 90.00°
Positions (direct):
Ta: 0.288 0.615 0.500
Ta: 0.557 0.283 0.000
Ta: 0.615 0.712 0.500
Ta: 0.283 0.443 0.000
Ta: 0.712 0.385 0.500
Ta: 0.443 0.717 0.000
Ta: 0.717 0.557 0.000
Ta: 0.385 0.288 0.500
In: 0.057 0.341 0.500
In: 0.341 0.943 0.500
In: 0.773 0.886 0.000
In: 0.886 0.227 0.000
In: 0.943 0.659 0.500
In: 0.659 0.057 0.500
In: 0.227 0.114 0.000
In: 0.114 0.773 0.000



8.
TaIn: relaxed, PBE-GGA.

Computed properties:
energy of formation from the pure elements: 1.2341 eV/atom
crystal system: cubic
space-group type: I-43m, No. 217

Cell: 8.715 8.715 8.715 Å, 90.00 90.00 90.00°
Positions (direct):
Ta: 0.608 0.392 0.608
Ta: 0.108 0.892 0.108
Ta: 0.108 0.108 0.892
Ta: 0.892 0.108 0.108
Ta: 0.892 0.892 0.892
Ta: 0.392 0.608 0.608
Ta: 0.608 0.608 0.392
Ta: 0.392 0.392 0.392
In: 0.797 0.797 0.203
In: 0.703 0.703 0.703
In: 0.297 0.297 0.703
In: 0.703 0.297 0.297
In: 0.797 0.203 0.797
In: 0.297 0.703 0.297
In: 0.203 0.203 0.203
In: 0.203 0.797 0.797